# 1
TcOsCl2 (PBEsol, optimized geometry); space group = R3m (160); formation energy from raw total energies = 113 meV/atom; energy relative to the lowest polymorph listed for this composition = 0.090 eV per atom
1.0
1.449 0.836 9.088
-1.449 0.836 9.088
0.000 -1.673 9.088
Tc Os Cl
1 1 2
Direct
0.000 0.000 0.000
0.259 0.259 0.259
0.521 0.521 0.521
0.734 0.734 0.734

***

# 2
TcOsCl2 (PBEsol, optimized geometry); space group = Cm (8); formation energy from raw total energies = 23 meV/atom; energy relative to the lowest polymorph listed for this composition = 0.000 eV per atom
1.0
3.012 -1.739 0.000
3.012 1.739 0.000
-0.058 0.000 8.284
Tc Os Cl
1 1 2
Direct
0.000 0.000 0.000
0.665 0.665 0.851
0.335 0.335 0.205
0.663 0.663 0.584

***

# 3
TcTeOsCl2 (PBEsol, optimized geometry); space group = P4/mmm (123); formation energy from raw total energies = 2117 meV/atom
1.0
5.101 0.000 0.000
0.000 5.101 0.000
0.000 0.000 5.078
Tc Te Os Cl
1 1 1 2
Direct
0.000 0.000 0.000
0.000 0.000 0.500
0.500 0.500 0.000
0.000 0.500 0.500
0.500 0.000 0.500

***

# 4
Te2OsCl (PBEsol, optimized geometry); space group = P4mm (99); formation energy from raw total energies = 327 meV/atom; energy relative to the lowest polymorph listed for this composition = 0.155 eV per atom
1.0
3.234 0.000 0.000
0.000 3.234 0.000
0.000 0.000 9.084
Te Os Cl
2 1 1
Direct
0.000 0.000 0.000
0.500 0.500 0.432
0.500 0.500 0.148
0.000 0.000 0.676

***

# 5
Te2OsCl (PBEsol, optimized geometry); space group = Pm (6); formation energy from raw total energies = 172 meV/atom; energy relative to the lowest polymorph listed for this composition = 0.000 eV per atom
1.0
5.112 0.000 0.000
0.000 3.668 0.000
-2.536 0.000 5.653
Te Os Cl
2 1 1
Direct
0.000 0.000 0.000
0.282 0.500 0.565
0.432 0.000 0.862
0.588 0.500 0.177

***

# 6
Te2OsCl (PBEsol, optimized geometry); space group = P4/mmm (123); formation energy from raw total energies = 177 meV/atom; energy relative to the lowest polymorph listed for this composition = 0.004 eV per atom
1.0
3.186 0.000 0.000
0.000 3.186 0.000
0.000 0.000 8.063
Te Os Cl
2 1 1
Direct
0.000 0.000 0.214
0.000 0.000 0.786
0.500 0.500 0.000
0.500 0.500 0.500

***

# 7
TlOsCl2 (PBEsol, optimized geometry); space group = P4/mmm (123); formation energy from raw total energies = 713 meV/atom; energy relative to the lowest polymorph listed for this composition = 0.591 eV per atom
1.0
3.113 0.000 0.000
0.000 3.113 0.000
0.000 0.000 8.435
Tl Os Cl
1 1 2
Direct
0.000 0.000 0.000
0.000 0.000 0.500
0.500 0.500 0.306
0.500 0.500 0.694

***

# 8
TlOsCl2 (PBEsol, optimized geometry); space group = Cmmm (65); formation energy from raw total energies = 291 meV/atom; energy relative to the lowest polymorph listed for this composition = 0.169 eV per atom
1.0
1.506 -2.848 0.000
1.506 2.848 0.000
0.000 0.000 9.423
Tl Os Cl
1 1 2
Direct
0.000 0.000 0.000
0.000 0.000 0.500
0.500 0.500 0.307
0.500 0.500 0.693